[1]
VASP calculation (PBE-GGA) on a geometry-optimized YCdSi2 structure.

Cell and atoms, written as CIF:
```
data_YCdSi2
_space_group_name_H-M_alt 'R -3 m'
_space_group_IT_number 166
_space_group_name_Hall '-R 3 2"'
_cell_length_a 3.4385
_cell_length_b 3.4385
_cell_length_c 25.8644
_cell_angle_alpha 90.00
_cell_angle_beta 90.00
_cell_angle_gamma 120.00
loop_
_atom_site_label
_atom_site_fract_x
_atom_site_fract_y
_atom_site_fract_z
Y1 0.0000 0.0000 0.0000
Cd1 0.0000 0.0000 0.5000
Si1 0.0000 0.0000 0.2462
```

[2]
VASP calculation (PBE-GGA) on a geometry-optimized YCdSi structure.

Cell and atoms, written as CIF:
```
data_YCdSi
_space_group_name_H-M_alt 'I 4 m m'
_space_group_IT_number 107
_space_group_name_Hall 'I 4 -2'
_cell_length_a 3.379
_cell_length_b 3.379
_cell_length_c 11.766
_cell_angle_alpha 90.00
_cell_angle_beta 90.00
_cell_angle_gamma 90.00
loop_
_atom_site_label
_atom_site_fract_x
_atom_site_fract_y
_atom_site_fract_z
Y1 0.000 0.000 0.000
Cd1 0.000 0.000 0.302
Si1 0.000 0.000 0.656
```

[3]
VASP calculation (PBE-GGA) on a geometry-optimized Y2CdSi structure.

Cell and atoms, written as CIF:
```
data_Y2CdSi
_space_group_name_H-M_alt 'P 4 m m'
_space_group_IT_number 99
_cell_length_a 4.186
_cell_length_b 4.186
_cell_length_c 6.062
_cell_angle_alpha 90.00
_cell_angle_beta 90.00
_cell_angle_gamma 90.00
loop_
_space_group_symop_operation_xyz
'x,y,z'
'-y,x,z'
'-x,-y,z'
'y,-x,z'
'-x,y,z'
'y,x,z'
'x,-y,z'
'-y,-x,z'
loop_
_atom_site_label
_atom_site_fract_x
_atom_site_fract_y
_atom_site_fract_z
Y1 0.000 0.000 0.000
Y2 0.500 0.500 0.397
Cd1 0.000 0.000 0.515
Si1 0.500 0.500 0.920
```

What are the formation energy (no corrections) values for these records? In order: 0.82; -0.40; -0.80 eV/f.u..